# CrFeAu

Crystalline CrFeAu at its relaxed geometry (PBE, Alexandria).

a = 2.7332 Å, b = 3.9162 Å, c = 7.9322 Å
α = 90.00°, β = 100.09°, γ = 90.00°
Fractional positions:
Cr 0.0000 0.0000 0.0000
Cr 0.4187 0.5000 0.8374
Fe 0.5565 0.5000 0.1114
Fe 0.6270 0.0000 0.2668
Au 0.2133 0.5000 0.4322
Au 0.8224 0.0000 0.6483

Calculated values
symmetry	No. 6
crystal system	monoclinic
calculated total energy	-41.08	eV per cell
calculated volume	84	Å³/cell
formation energy	0.274	eV/atom
relative energy among the computed polymorphs	98.5	meV/atom